{
  "formula": "FeTc2",
  "functional": "PBE-GGA",
  "state": "optimized geometry",
  "sg": "Imma",
  "total_magnetization_mub_per_cell": 8.5,
  "cell": [[2.606, 0.000, 0.000], [0.000, 3.975, 0.000], [0.000, 0.000, 17.483]],
  "species": ["Fe", "Fe", "Fe", "Fe", "Tc", "Tc", "Tc", "Tc", "Tc", "Tc", "Tc", "Tc"],
  "fractional_positions": [[0.000, 0.250, 0.120], [0.000, 0.750, 0.880], [0.500, 0.250, 0.380], [0.500, 0.750, 0.620], [0.000, 0.250, 0.539], [0.000, 0.250, 0.685], [0.000, 0.750, 0.315], [0.000, 0.750, 0.461], [0.500, 0.250, 0.815], [0.500, 0.250, 0.961], [0.500, 0.750, 0.039], [0.500, 0.750, 0.185]]
}

{
  "formula": "FeTc2",
  "functional": "PBE-GGA",
  "state": "optimized geometry",
  "sg": "Pa-3",
  "total_magnetization_mub_per_cell": 4.2,
  "cell": [[5.670, 0.000, 0.000], [0.000, 5.670, 0.000], [0.000, 0.000, 5.670]],
  "species": ["Fe", "Fe", "Fe", "Fe", "Tc", "Tc", "Tc", "Tc", "Tc", "Tc", "Tc", "Tc"],
  "fractional_positions": [[0.000, 0.000, 0.000], [0.000, 0.500, 0.500], [0.500, 0.000, 0.500], [0.500, 0.500, 0.000], [0.120, 0.620, 0.880], [0.120, 0.880, 0.380], [0.380, 0.120, 0.880], [0.380, 0.380, 0.380], [0.620, 0.620, 0.620], [0.620, 0.880, 0.120], [0.880, 0.120, 0.620], [0.880, 0.380, 0.120]]
}

Formation energy from the elements (eV per atom)
0.510, 0.825